(1)
The following is a DFT calculation (GGA-PBE) of an optimized crystal structure of La4Pm2Pr5.

```
La4Pm2Pr5
1.0
-3.462 -0.317 1.057
-3.531 0.090 -11.536
2.678 -8.918 -0.151
La Pm Pr
4 2 5
direct
0.359 0.202 0.717 La
0.962 0.737 0.924 La
0.641 0.798 0.283 La
0.038 0.263 0.076 La
0.716 0.360 0.432 Pm
0.284 0.640 0.568 Pm
0.904 0.459 0.808 Pr
0.096 0.541 0.192 Pr
0.822 0.927 0.644 Pr
0.500 0.000 0.000 Pr
0.178 0.073 0.356 Pr
```

Computed properties:
The formation energy is 0.07 eV per atom. The uncorrected energy is -52.4 eV per cell. The volume is 399 Å³/f.u. Its space-group type is No. 12.


(2)
The following is a DFT calculation (GGA-PBE) of an optimized crystal structure of La12PmPr6.

```
La12PmPr6
1.0
-4.109 5.811 -5.718
-5.631 -0.857 8.035
-0.906 8.664 4.596
La Pm Pr
12 1 6
direct
0.528 0.843 0.262 La
0.684 0.895 0.843 La
0.789 0.262 0.895 La
0.472 0.157 0.738 La
0.316 0.105 0.157 La
0.211 0.738 0.105 La
0.264 0.420 0.633 La
0.103 0.367 0.053 La
0.156 0.053 0.580 La
0.736 0.580 0.367 La
0.897 0.633 0.947 La
0.844 0.947 0.420 La
0.000 0.000 0.000 Pm
0.420 0.473 0.211 Pr
0.053 0.684 0.527 Pr
0.369 0.789 0.684 Pr
0.580 0.527 0.789 Pr
0.947 0.316 0.473 Pr
0.631 0.211 0.316 Pr
```

Computed properties:
The formation energy is 0.01 eV per atom. The uncorrected energy is -92.3 eV per cell. The volume is 694 Å³/f.u. Its space-group type is No. 148.


(3)
The following is a DFT calculation (GGA-PBE) of an optimized crystal structure of La4Pm3Pr8.

```
La4Pm3Pr8
1.0
-0.713 5.640 -4.095
3.599 -7.384 -4.791
-7.813 -5.420 -0.097
La Pm Pr
4 3 8
direct
0.500 0.000 0.000 La
0.000 0.500 0.000 La
0.000 0.000 0.000 La
0.000 0.000 0.500 La
0.500 0.500 0.000 Pm
0.500 0.000 0.500 Pm
0.500 0.500 0.500 Pm
0.252 0.248 0.248 Pr
0.000 0.702 0.298 Pr
0.797 0.298 0.298 Pr
0.500 0.752 0.248 Pr
0.500 0.248 0.752 Pr
0.203 0.702 0.702 Pr
0.000 0.298 0.702 Pr
0.748 0.752 0.752 Pr
```

Computed properties:
The formation energy is 0.27 eV per atom. The uncorrected energy is -68.1 eV per cell. The volume is 547 Å³/f.u. Its space-group type is No. 12.